Compound: AcPmNd2Ho5
Source: Alexandria
Functional: PBE-GGA
Structure: relaxed

Summary:
* E: -156.25 eV/cell
* total magnetic moment: 0.000 μB per cell
* calculated formation energy: 214.3 kJ/mol of formula units

The structure in CIF format:
```
data_AcPmNd2Ho5
_cell_length_a 8.827
_cell_length_b 8.827
_cell_length_c 15.720
_cell_angle_alpha 90.00
_cell_angle_beta 90.00
_cell_angle_gamma 90.00
_space_group_name_H-M_alt 'I 4/m c m'
_space_group_IT_number 140
_space_group_name_Hall '-I 4 2c'
loop_
_atom_site_label
_atom_site_fract_x
_atom_site_fract_y
_atom_site_fract_z
Ac1 0.000 0.000 0.250
Pm1 0.000 0.500 0.250
Nd1 0.117 0.383 0.000
Ho1 0.000 0.000 0.000
Ho2 0.206 0.294 0.367
```